Record 1
# Ac4PmPt4

A relaxed Ac4PmPt4 crystal (PBE, Alexandria).

Cell: 4.3856 7.5154 9.6915 Å, 75.15 76.92 73.04°
Sites, in units of the cell vectors:
Ac 0.7010 0.4088 0.1893
Ac 0.8907 0.8263 0.3922
Ac 0.2990 0.5912 0.8107
Ac 0.1093 0.1737 0.6078
Pm 0.5000 0.0000 0.0000
Pt 0.2964 0.1110 0.2963
Pt 0.7036 0.8890 0.7037
Pt 0.9071 0.2861 0.8998
Pt 0.0929 0.7139 0.1002

Values from the calculation:
* crystal system: monoclinic

Record 2
# LuAgBi2

A relaxed LuAgBi2 crystal (PBE, Alexandria).

Cell: 4.2542 4.9433 4.9433 Å, 90.00 90.00 90.00°
Sites, in units of the cell vectors:
Lu 0.5000 0.5000 0.5000
Bi 0.0000 0.0000 0.5000
Bi 0.0000 0.5000 0.0000
Ag 0.5000 0.0000 0.0000

Values from the calculation:
* crystal system: tetragonal

| no. | theoretical density (g/cm3) | energy relative to the elements (eV per atom) |
| --- | --- | --- |
| 1 | 10.45 | -1.053 |
| 2 | 11.19 | -0.277 |